No. 1
# PBE-GGA BaCaAs2Se, relaxed
data_BaCaAs2Se
_chemical_formula_sum 'Ba1 Ca1 As2 Se1'
_symmetry_space_group_name_H-M 'P 4/m m m'
_symmetry_Int_Tables_number 123
_symmetry_space_group_name_Hall '-P 4 2'
_cell_length_a 5.416
_cell_length_b 5.416
_cell_length_c 5.496
_cell_angle_alpha 90.00
_cell_angle_beta 90.00
_cell_angle_gamma 90.00
loop_
_atom_site_label
_atom_site_fract_x
_atom_site_fract_y
_atom_site_fract_z
_atom_site_occupancy
Ba1 0.000 0.000 0.000 1
Ca1 0.500 0.500 0.500 1
As1 0.000 0.500 0.500 1
Se1 0.500 0.500 0.000 1
# Magnetization in μB/f.u.: 0.00
# Uncorrected formation energy in eV/atom: -0.495
# D(E_F) in states/eV per cell: 6.0
# Distance to the lowest polymorph of the same formula in eV/f.u.: 0.00
# VASP energy in eV/f.u.: -19.18
# Crystal system: tetragonal

No. 2
# PBE-GGA BaCaSiAs2, relaxed
data_BaCaSiAs2
_chemical_formula_sum 'Ba2 Ca2 Si2 As4'
_symmetry_space_group_name_H-M 'P 1 2/c 1'
_symmetry_Int_Tables_number 13
_cell_length_a 7.510
_cell_length_b 6.035
_cell_length_c 6.755
_cell_angle_alpha 90.00
_cell_angle_beta 116.55
_cell_angle_gamma 90.00
loop_
_symmetry_equiv_pos_as_xyz
'x,y,z'
'-x,-y,-z'
'-x,y,-z+1/2'
'x,-y,z+1/2'
loop_
_atom_site_label
_atom_site_fract_x
_atom_site_fract_y
_atom_site_fract_z
_atom_site_occupancy
Ba1 0.000 0.233 0.250 1
Ca1 0.500 0.497 0.250 1
Si1 0.500 0.000 0.000 1
As1 0.204 0.256 0.851 1
# Magnetization in μB/f.u.: 0.00
# Uncorrected formation energy in eV/atom: -0.586
# D(E_F) in states/eV per cell: 5.0
# VASP energy in eV/f.u.: -21.58
# Crystal system: monoclinic

No. 3
# PBE-GGA BaSr2CaAs, relaxed
data_BaSr2CaAs
_chemical_formula_sum 'Ba1 Sr2 Ca1 As1'
_symmetry_space_group_name_H-M 'P 4/m m m'
_symmetry_Int_Tables_number 123
_symmetry_space_group_name_Hall '-P 4 2'
_cell_length_a 6.226
_cell_length_b 6.226
_cell_length_c 5.906
_cell_angle_alpha 90.00
_cell_angle_beta 90.00
_cell_angle_gamma 90.00
loop_
_atom_site_label
_atom_site_fract_x
_atom_site_fract_y
_atom_site_fract_z
_atom_site_occupancy
Ba1 0.000 0.000 0.000 1
Sr1 0.000 0.500 0.500 1
Ca1 0.500 0.500 0.000 1
As1 0.500 0.500 0.500 1
# Magnetization in μB/f.u.: 0.00
# D(E_F) in states/eV per cell: 4.7
# Energy of formation from the pure elements in eV/atom: -0.455
# Distance to the lowest polymorph of the same formula in eV/f.u.: 0.00
# VASP energy in eV/f.u.: -14.21
# Crystal system: tetragonal

No. 4
# PBE-GGA BaSrCa2As, relaxed
data_BaSrCa2As
_chemical_formula_sum 'Ba1 Sr1 Ca2 As1'
_symmetry_space_group_name_H-M 'P 4/m m m'
_symmetry_Int_Tables_number 123
_symmetry_space_group_name_Hall '-P 4 2'
_cell_length_a 5.906
_cell_length_b 5.906
_cell_length_c 6.192
_cell_angle_alpha 90.00
_cell_angle_beta 90.00
_cell_angle_gamma 90.00
loop_
_atom_site_label
_atom_site_fract_x
_atom_site_fract_y
_atom_site_fract_z
_atom_site_occupancy
Ba1 0.000 0.000 0.000 1
Sr1 0.500 0.500 0.000 1
Ca1 0.000 0.500 0.500 1
As1 0.500 0.500 0.500 1
# Magnetization in μB/f.u.: 0.00
# D(E_F) in states/eV per cell: 4.6
# Energy of formation from the pure elements in eV/atom: -0.448
# VASP energy in eV/f.u.: -14.50
# Crystal system: tetragonal

No. 5
# PBE-GGA BaSrCa2As, relaxed
data_BaSrCa2As
_chemical_formula_sum 'Ba1 Sr1 Ca2 As1'
_symmetry_space_group_name_H-M 'P 4/m m m'
_symmetry_Int_Tables_number 123
_symmetry_space_group_name_Hall '-P 4 2'
_cell_length_a 5.860
_cell_length_b 5.860
_cell_length_c 6.509
_cell_angle_alpha 90.00
_cell_angle_beta 90.00
_cell_angle_gamma 90.00
loop_
_atom_site_label
_atom_site_fract_x
_atom_site_fract_y
_atom_site_fract_z
_atom_site_occupancy
Ba1 0.000 0.000 0.000 1
Sr1 0.500 0.500 0.000 1
Ca1 0.000 0.500 0.500 1
As1 0.000 0.000 0.500 1
# Magnetization in μB/f.u.: 0.00
# D(E_F) in states/eV per cell: 5.2
# Energy of formation from the pure elements in eV/atom: -0.450
# VASP energy in eV/f.u.: -14.51
# Crystal system: tetragonal

No. 6
# PBE-GGA BaSr2CaAs, relaxed
data_BaSr2CaAs
_chemical_formula_sum 'Ba1 Sr2 Ca1 As1'
_symmetry_space_group_name_H-M 'P 4/m m m'
_symmetry_Int_Tables_number 123
_symmetry_space_group_name_Hall '-P 4 2'
_cell_length_a 6.134
_cell_length_b 6.134
_cell_length_c 6.488
_cell_angle_alpha 90.00
_cell_angle_beta 90.00
_cell_angle_gamma 90.00
loop_
_atom_site_label
_atom_site_fract_x
_atom_site_fract_y
_atom_site_fract_z
_atom_site_occupancy
Ba1 0.000 0.000 0.000 1
Sr1 0.000 0.500 0.500 1
Ca1 0.500 0.500 0.000 1
As1 0.000 0.000 0.500 1
# Magnetization in μB/f.u.: 0.01
# D(E_F) in states/eV per cell: 6.2
# Energy of formation from the pure elements in eV/atom: -0.451
# Distance to the lowest polymorph of the same formula in eV/f.u.: 0.02
# VASP energy in eV/f.u.: -14.19
# Crystal system: tetragonal

No. 7
# PBE-GGA Ba2CaTcAs, relaxed
data_Ba2CaTcAs
_chemical_formula_sum 'Ba2 Ca1 Tc1 As1'
_symmetry_space_group_name_H-M 'P 4/m m m'
_symmetry_Int_Tables_number 123
_symmetry_space_group_name_Hall '-P 4 2'
_cell_length_a 6.404
_cell_length_b 6.404
_cell_length_c 4.741
_cell_angle_alpha 90.00
_cell_angle_beta 90.00
_cell_angle_gamma 90.00
loop_
_atom_site_label
_atom_site_fract_x
_atom_site_fract_y
_atom_site_fract_z
_atom_site_occupancy
Ba1 0.000 0.500 0.000 1
Ca1 0.000 0.000 0.500 1
Tc1 0.500 0.500 0.500 1
As1 0.500 0.500 0.000 1
# Magnetization in μB/f.u.: 0.96
# D(E_F) in states/eV per cell: 5.3
# Energy of formation from the pure elements in eV/atom: 0.104
# VASP energy in eV/f.u.: -20.34
# Crystal system: tetragonal

No. 8
# PBE-GGA Ba2CaUAs6, relaxed
data_Ba2CaUAs6
_chemical_formula_sum 'Ba8 Ca4 U4 As24'
_symmetry_space_group_name_H-M 'F m -3 m'
_symmetry_Int_Tables_number 225
_symmetry_space_group_name_Hall '-F 4 2 3'
_cell_length_a 10.844
_cell_length_b 10.844
_cell_length_c 10.844
_cell_angle_alpha 90.00
_cell_angle_beta 90.00
_cell_angle_gamma 90.00
loop_
_atom_site_label
_atom_site_fract_x
_atom_site_fract_y
_atom_site_fract_z
_atom_site_occupancy
Ba1 0.250 0.250 0.250 1
Ca1 0.000 0.000 0.000 1
U1 0.000 0.000 0.500 1
As1 0.000 0.000 0.257 1
# Magnetization in μB/f.u.: 0.00
# D(E_F) in states/eV per cell: 40.2
# Energy of formation from the pure elements in eV/atom: -0.504
# VASP energy in eV/f.u.: -50.08
# Crystal system: cubic